1.
Ho2Tm3In: optimized geometry, GGA-PBE.

abc: 6.5881 6.5881 6.5881
angles: 128.93 122.15 80.76
Atoms (fractional coordinates):
Ho 0.1823 0.1823 0.0000
Ho 0.8177 0.8177 0.0000
Tm 0.0000 0.5000 0.5000
Tm 0.3437 0.8437 0.5000
Tm 0.6563 0.1563 0.5000
In 0.5000 0.5000 0.0000

Values from the calculation:
Relative energy among the computed polymorphs ... 402 meV per atom
Crystal system ... orthorhombic
Mass density ... 8.7 g cm⁻³
Magnetic moment ... 0.000 μB/cell


2.
Ho2Tm12In: optimized geometry, GGA-PBE.

abc: 3.5215 5.5170 23.3674
angles: 90.00 90.92 90.00
Atoms (fractional coordinates):
Ho 0.2260 0.0000 0.2658
Ho 0.7740 0.0000 0.7342
Tm 0.2223 0.5000 0.0688
Tm 0.2441 0.5000 0.4443
Tm 0.2576 0.0000 0.5760
Tm 0.2678 0.5000 0.6724
Tm 0.2716 0.5000 0.8040
Tm 0.3029 0.0000 0.8743
Tm 0.6971 0.0000 0.1257
Tm 0.7284 0.5000 0.1960
Tm 0.7322 0.5000 0.3276
Tm 0.7424 0.0000 0.4240
Tm 0.7559 0.5000 0.5557
Tm 0.7777 0.5000 0.9312
In 0.0000 0.0000 0.0000

Values from the calculation:
Crystal system ... monoclinic
Final energy ... -4.31 eV/atom
Mass density ... 9.0 g cm⁻³
Magnetic moment ... 0.000 μB/cell